Entry 1:
Material: ZrRh2Br
Method: DFT, SCAN
State: PBEsol geometry

abc: 3.2407 3.2407 8.1454
angles: 78.53 78.53 60.00
Sites, in units of the cell vectors:
Rh (0.7554, 0.7554, 0.7338)
Rh (0.2446, 0.2446, 0.2662)
Zr (0.5000, 0.5000, 0.5000)
Br (0.0000, 0.0000, 0.0000)

theoretical density = 8.7 g cm⁻³
E_form (uncorrected) = -0.161 eV per atom
electronic total energy = -29.587 eV/atom
magnetization = 0.00 μB/f.u.
excess energy over the best structure of this formula in the dataset = 219.8 meV/atom
SG = R-3m (166)


Entry 2:
Material: RuBr
Method: DFT, SCAN
State: PBEsol geometry

abc: 2.9854 3.7952 7.3821
angles: 104.90 101.67 90.00
Sites, in units of the cell vectors:
Br (0.8866, 0.1366, 0.7732)
Br (0.1134, 0.8634, 0.2268)
Ru (0.6761, 0.4261, 0.3522)
Ru (0.3239, 0.5739, 0.6478)

theoretical density = 7.6 g cm⁻³
E_form (uncorrected) = 0.837 eV per atom
electronic total energy = -26.306 eV/atom
magnetization = 0.00 μB/f.u.
excess energy over the best structure of this formula in the dataset = 276.9 meV/atom
SG = Imma (74)


Entry 3:
Material: RuBr
Method: DFT, SCAN
State: PBEsol geometry

abc: 3.6819 3.6819 5.5019
angles: 109.55 109.55 90.00
Sites, in units of the cell vectors:
Br (0.2500, 0.7500, 0.5000)
Br (0.0000, 0.0000, 0.0000)
Ru (0.5000, 0.5000, 0.0000)
Ru (0.7500, 0.2500, 0.5000)

theoretical density = 9.1 g cm⁻³
E_form (uncorrected) = 1.288 eV per atom
electronic total energy = -25.855 eV/atom
magnetization = 0.00 μB/f.u.
excess energy over the best structure of this formula in the dataset = 727.8 meV/atom
SG = I4_1/amd (141)


Entry 4:
Material: Ru3Br
Method: DFT, SCAN
State: PBEsol geometry

abc: 2.8153 4.5348 4.5348
angles: 90.00 90.00 90.00
Site moments in Bohr magnetons follow the coordinates.
Sites, in units of the cell vectors:
Br (0.0000, 0.0000, 0.0000)  0.02
Ru (0.0000, 0.5000, 0.5000)  0.66
Ru (0.5000, 0.0000, 0.5000)  0.77
Ru (0.5000, 0.5000, 0.0000)  0.77

theoretical density = 11.0 g cm⁻³
E_form (uncorrected) = 1.069 eV per atom
electronic total energy = -29.916 eV/atom
magnetization = 2.18 μB/f.u.
excess energy over the best structure of this formula in the dataset = 224.9 meV/atom
SG = P4/mmm (123)


Entry 5:
Material: RuBr
Method: DFT, SCAN
State: PBEsol geometry

abc: 3.0393 3.3976 8.0340
angles: 90.00 90.00 90.00
Site moments in Bohr magnetons follow the coordinates.
Sites, in units of the cell vectors:
Ru (0.5000, 0.7500, 0.0966)  0.45
Ru (0.5000, 0.2500, 0.9034)  0.45
Br (0.0000, 0.2500, 0.2913)  -0.01
Br (0.0000, 0.7500, 0.7087)  -0.01

theoretical density = 7.2 g cm⁻³
E_form (uncorrected) = 0.614 eV per atom
electronic total energy = -26.529 eV/atom
magnetization = 0.45 μB/f.u.
excess energy over the best structure of this formula in the dataset = 54.1 meV/atom
SG = Pmma (51)


Entry 6:
Material: Ru2Br
Method: DFT, SCAN
State: PBEsol geometry

abc: 2.8920 2.9057 6.2059
angles: 103.54 103.47 90.00
Sites, in units of the cell vectors:
Br (0.5000, 0.0000, 0.0000)
Ru (0.1860, 0.1860, 0.3720)
Ru (0.8140, 0.8140, 0.6280)

theoretical density = 9.5 g cm⁻³
E_form (uncorrected) = 0.614 eV per atom
electronic total energy = -29.090 eV/atom
magnetization = 0.00 μB/f.u.
excess energy over the best structure of this formula in the dataset = 0.0 meV/atom
SG = Immm (71)


Entry 7:
Material: Ru3Br
Method: DFT, SCAN
State: PBEsol geometry

abc: 2.8372 4.3633 4.9710
angles: 92.27 106.58 90.00
Sites, in units of the cell vectors:
Ru (0.5000, 0.5000, 0.0000)
Ru (0.2221, 0.7295, 0.4443)
Ru (0.7779, 0.2705, 0.5557)
Br (0.0000, 0.0000, 0.0000)

theoretical density = 10.8 g cm⁻³
E_form (uncorrected) = 0.844 eV per atom
electronic total energy = -30.141 eV/atom
magnetization = 0.00 μB/f.u.
excess energy over the best structure of this formula in the dataset = 0.0 meV/atom
SG = C2/m (12)


Entry 8:
Material: Ru2Br
Method: DFT, SCAN
State: PBEsol geometry

abc: 4.9412 5.4528 4.9412
angles: 63.06 90.00 116.94
Site moments in Bohr magnetons follow the coordinates.
Sites, in units of the cell vectors:
Ru (0.6768, 0.0000, 0.8232)  0.43
Ru (0.8232, 0.0000, 0.3232)  0.43
Ru (0.1768, 0.0000, 0.6768)  0.43
Ru (0.3232, 0.0000, 0.1768)  0.43
Br (0.7500, 0.5000, 0.2500)  0.02
Br (0.2500, 0.5000, 0.7500)  0.02

theoretical density = 9.2 g cm⁻³
E_form (uncorrected) = 1.131 eV per atom
electronic total energy = -28.573 eV/atom
magnetization = 0.89 μB/f.u.
excess energy over the best structure of this formula in the dataset = 516.0 meV/atom
SG = I4/mcm (140)


Entry 9:
Material: RuBr
Method: DFT, SCAN
State: PBEsol geometry

abc: 2.9936 2.9936 9.5314
angles: 80.96 80.96 60.00
Sites, in units of the cell vectors:
Br (0.8945, 0.8945, 0.3165)
Br (0.1055, 0.1055, 0.6835)
Ru (0.6321, 0.6321, 0.1036)
Ru (0.3679, 0.3679, 0.8964)

theoretical density = 8.3 g cm⁻³
E_form (uncorrected) = 0.560 eV per atom
electronic total energy = -26.583 eV/atom
magnetization = 0.00 μB/f.u.
excess energy over the best structure of this formula in the dataset = 0.0 meV/atom
SG = R-3m (166)


Entry 10:
Material: SbRuBr2
Method: DFT, SCAN
State: PBEsol geometry

abc: 3.0959 3.0959 9.2510
angles: 90.00 90.00 90.00
Sites, in units of the cell vectors:
Sb (0.5000, 0.5000, 0.5000)
Br (0.0000, 0.0000, 0.8310)
Br (0.0000, 0.0000, 0.1690)
Ru (0.5000, 0.5000, 0.0000)

theoretical density = 7.2 g cm⁻³
E_form (uncorrected) = 0.632 eV per atom
electronic total energy = -27.119 eV/atom
magnetization = 0.00 μB/f.u.
excess energy over the best structure of this formula in the dataset = 624.1 meV/atom
SG = P4/mmm (123)


Entry 11:
Material: SbRu2Br
Method: DFT, SCAN
State: PBEsol geometry

abc: 3.0765 3.9153 5.6640
angles: 90.00 90.00 90.00
Sites, in units of the cell vectors:
Br (0.5000, 0.5000, 0.8391)
Ru (0.5000, 0.5000, 0.2591)
Ru (0.0000, 0.0000, 0.9581)
Sb (0.0000, 0.0000, 0.4437)

theoretical density = 9.8 g cm⁻³
E_form (uncorrected) = 0.454 eV per atom
electronic total energy = -31.139 eV/atom
magnetization = 0.00 μB/f.u.
excess energy over the best structure of this formula in the dataset = 93.1 meV/atom
SG = Pmm2 (25)


Entry 12:
Material: SbRuBr2
Method: DFT, SCAN
State: PBEsol geometry

abc: 3.4937 4.7859 4.7859
angles: 90.00 90.00 90.00
Site moments in Bohr magnetons follow the coordinates.
Sites, in units of the cell vectors:
Br (0.0000, 0.0000, 0.5000)  0.06
Br (0.0000, 0.5000, 0.0000)  0.06
Sb (0.5000, 0.0000, 0.0000)  -0.07
Ru (0.5000, 0.5000, 0.5000)  2.09

theoretical density = 7.9 g cm⁻³
E_form (uncorrected) = 0.971 eV per atom
electronic total energy = -26.780 eV/atom
magnetization = 2.13 μB/f.u.
excess energy over the best structure of this formula in the dataset = 963.3 meV/atom
SG = P4/mmm (123)


Entry 13:
Material: SbRu2Br
Method: DFT, SCAN
State: PBEsol geometry

abc: 3.1360 4.5744 4.5744
angles: 89.91 90.00 90.00
Site moments in Bohr magnetons follow the coordinates.
Sites, in units of the cell vectors:
Sb (0.5000, 0.0000, 0.0000)  0.01
Ru (0.0000, 0.5000, 0.0000)  0.78
Ru (0.0000, 0.0000, 0.5000)  0.78
Br (0.5000, 0.5000, 0.5000)  0.09

theoretical density = 10.2 g cm⁻³
E_form (uncorrected) = 0.722 eV per atom
electronic total energy = -30.871 eV/atom
magnetization = 1.60 μB/f.u.
excess energy over the best structure of this formula in the dataset = 361.3 meV/atom
SG = Cmmm (65)